## Nd3Ho4Rh4 (GGA-PBE)

Data for crystalline Nd3Ho4Rh4 at its relaxed geometry.

Calculated values
* crystal system: orthorhombic
* formation energy: -600 meV per atom

Cell: 9.302 9.302 9.302 Å, 156.01 122.94 62.78°
Fractional positions:
Nd1 0.000 0.000 0.000
Nd2 0.399 0.899 0.500
Nd3 0.601 0.101 0.500
Ho1 0.022 0.333 0.689
Ho2 0.356 0.667 0.689
Ho3 0.644 0.333 0.311
Ho4 0.978 0.667 0.311
Rh1 0.243 0.243 0.000
Rh2 0.275 0.500 0.775
Rh3 0.725 0.500 0.225
Rh4 0.757 0.757 0.000



## Nd2HoRh2 (GGA-PBE)

Data for crystalline Nd2HoRh2 at its relaxed geometry.

Calculated values
* crystal system: trigonal
* energy relative to the lowest polymorph listed for this composition: 0.0628 eV per atom
* formation energy: -564 meV per atom

Cell: 6.876 6.876 6.876 Å, 40.18 40.18 40.18°
Fractional positions:
Nd1 0.221 0.221 0.221
Nd2 0.779 0.779 0.779
Ho1 0.000 0.000 0.000
Rh1 0.384 0.384 0.384
Rh2 0.616 0.616 0.616



## NdHo5Rh4 (GGA-PBE)

Data for crystalline NdHo5Rh4 at its relaxed geometry.

Calculated values
* crystal system: monoclinic
* energy relative to the lowest polymorph listed for this composition: 0.0802 eV per atom
* formation energy: -647 meV per atom

Cell: 9.217 9.217 7.333 Å, 113.38 113.38 26.78°
Fractional positions:
Nd1 0.000 0.000 0.000
Ho1 0.000 0.000 0.500
Ho2 0.334 0.334 0.078
Ho3 0.334 0.334 0.590
Ho4 0.666 0.666 0.410
Ho5 0.666 0.666 0.922
Rh1 0.200 0.200 0.200
Rh2 0.500 0.500 0.271
Rh3 0.500 0.500 0.729
Rh4 0.800 0.800 0.800



## Nd12HoRh7 (GGA-PBE)

Data for crystalline Nd12HoRh7 at its relaxed geometry.

Calculated values
* crystal system: trigonal
* formation energy: -472 meV per atom

Cell: 9.006 9.006 9.006 Å, 107.09 107.09 107.09°
Fractional positions:
Nd1 0.040 0.344 0.121
Nd2 0.121 0.040 0.344
Nd3 0.190 0.723 0.576
Nd4 0.277 0.424 0.810
Nd5 0.344 0.121 0.040
Nd6 0.424 0.810 0.277
Nd7 0.576 0.190 0.723
Nd8 0.656 0.879 0.960
Nd9 0.723 0.576 0.190
Nd10 0.810 0.277 0.424
Nd11 0.879 0.960 0.656
Nd12 0.960 0.656 0.879
Ho1 0.500 0.500 0.500
Rh1 0.000 0.000 0.000
Rh2 0.152 0.381 0.466
Rh3 0.381 0.466 0.152
Rh4 0.466 0.152 0.381
Rh5 0.534 0.848 0.619
Rh6 0.619 0.534 0.848
Rh7 0.848 0.619 0.534



## NdHo5Rh6 (GGA-PBE)

Data for crystalline NdHo5Rh6 at its relaxed geometry.

Calculated values
* crystal system: monoclinic
* formation energy: -853 meV per atom

Cell: 4.822 6.946 7.640 Å, 90.00 108.34 90.00°
Fractional positions:
Nd1 0.000 0.000 0.000
Ho1 0.000 0.500 0.000
Ho2 0.332 0.000 0.664
Ho3 0.333 0.500 0.666
Ho4 0.667 0.500 0.334
Ho5 0.668 0.000 0.336
Rh1 0.169 0.253 0.338
Rh2 0.169 0.747 0.338
Rh3 0.500 0.258 0.000
Rh4 0.500 0.742 0.000
Rh5 0.831 0.253 0.662
Rh6 0.831 0.747 0.662



## Nd3HoRh3 (GGA-PBE)

Data for crystalline Nd3HoRh3 at its relaxed geometry.

Calculated values
* crystal system: monoclinic
* formation energy: -584 meV per atom

Cell: 7.018 7.018 7.131 Å, 90.42 90.42 96.37°
Fractional positions:
Nd1 0.180 0.820 0.000
Nd2 0.253 0.747 0.500
Nd3 0.330 0.330 0.122
Nd4 0.670 0.670 0.878
Nd5 0.747 0.253 0.500
Nd6 0.820 0.180 0.000
Ho1 0.239 0.239 0.625
Ho2 0.761 0.761 0.375
Rh1 0.010 0.499 0.773
Rh2 0.063 0.063 0.304
Rh3 0.499 0.010 0.773
Rh4 0.501 0.990 0.227
Rh5 0.937 0.937 0.696
Rh6 0.990 0.501 0.227



## NdHo4Rh4 (GGA-PBE)

Data for crystalline NdHo4Rh4 at its relaxed geometry.

Calculated values
* crystal system: tetragonal
* formation energy: -657 meV per atom

Cell: 8.882 8.882 5.596 Å, 90.00 90.00 90.00°
Fractional positions:
Nd1 0.250 0.250 0.250
Nd2 0.750 0.750 0.750
Ho1 0.075 0.657 0.165
Ho2 0.157 0.925 0.665
Ho3 0.343 0.575 0.665
Ho4 0.425 0.843 0.165
Ho5 0.575 0.157 0.835
Ho6 0.657 0.425 0.335
Ho7 0.843 0.075 0.335
Ho8 0.925 0.343 0.835
Rh1 0.036 0.621 0.662
Rh2 0.121 0.964 0.162
Rh3 0.379 0.536 0.162
Rh4 0.464 0.879 0.662
Rh5 0.536 0.121 0.338
Rh6 0.621 0.464 0.838
Rh7 0.879 0.036 0.838
Rh8 0.964 0.379 0.338



## Nd3HoRh2 (GGA-PBE)

Data for crystalline Nd3HoRh2 at its relaxed geometry.

Calculated values
* crystal system: monoclinic
* formation energy: -521 meV per atom

Cell: 8.558 8.558 11.198 Å, 116.28 116.28 29.05°
Fractional positions:
Nd1 0.052 0.052 0.222
Nd2 0.214 0.214 0.600
Nd3 0.337 0.337 0.978
Nd4 0.663 0.663 0.022
Nd5 0.786 0.786 0.400
Nd6 0.948 0.948 0.778
Ho1 0.427 0.427 0.336
Ho2 0.573 0.573 0.664
Rh1 0.139 0.139 0.836
Rh2 0.384 0.384 0.577
Rh3 0.616 0.616 0.423
Rh4 0.861 0.861 0.164



## NdHoSb2Rh5 (GGA-PBE)

Data for crystalline NdHoSb2Rh5 at its relaxed geometry.

Calculated values
* ΔE_f (raw): -513.1 meV per atom
* crystal system: tetragonal

Cell: 4.474 4.474 8.962 Å, 90.00 90.00 90.00°
Fractional positions:
Nd1 0.000 0.000 0.000
Ho1 0.000 0.000 0.500
Sb1 0.500 0.500 0.343
Sb2 0.500 0.500 0.657
Rh1 0.000 0.500 0.218
Rh2 0.000 0.500 0.782
Rh3 0.500 0.000 0.218
Rh4 0.500 0.000 0.782
Rh5 0.500 0.500 0.000



## Nd2HoSb3Rh4 (GGA-PBE)

Data for crystalline Nd2HoSb3Rh4 at its relaxed geometry.

Calculated values
* ΔE_f (raw): -864.4 meV per atom
* crystal system: tetragonal

Cell: 4.400 4.400 11.422 Å, 90.00 90.00 90.00°
Fractional positions:
Nd1 0.000 0.500 0.227
Nd2 0.500 0.000 0.773
Ho1 0.000 0.000 0.500
Sb1 0.000 0.500 0.869
Sb2 0.500 0.000 0.131
Sb3 0.500 0.500 0.500
Rh1 0.000 0.000 0.000
Rh2 0.000 0.500 0.644
Rh3 0.500 0.000 0.356
Rh4 0.500 0.500 0.000



## NdHoSiRh (GGA-PBE)

Data for crystalline NdHoSiRh at its relaxed geometry.

Calculated values
* ΔE_f (raw): -795.3 meV per atom
* crystal system: orthorhombic

Cell: 4.084 5.688 5.688 Å, 43.71 90.00 90.00°
Fractional positions:
Nd1 0.000 0.000 0.000
Ho1 0.500 0.282 0.282
Si1 0.500 0.582 0.582
Rh1 0.000 0.721 0.721



## NdHoTh2Rh4 (GGA-PBE)

Data for crystalline NdHoTh2Rh4 at its relaxed geometry.

Calculated values
* crystal system: orthorhombic
* formation energy: -763 meV per atom

Cell: 7.007 5.764 6.864 Å, 66.75 49.09 64.16°
Fractional positions:
Nd1 0.000 0.000 0.000
Ho1 0.427 0.427 0.573
Th1 0.276 0.276 0.224
Th2 0.776 0.776 0.724
Rh1 0.302 0.762 0.238
Rh2 0.514 0.915 0.486
Rh3 0.762 0.302 0.698
Rh4 0.915 0.514 0.085



## NdHoZnRh (GGA-PBE)

Data for crystalline NdHoZnRh at its relaxed geometry.

Calculated values
* crystal system: cubic
* energy relative to the lowest polymorph listed for this composition: 0.0158 eV per atom
* formation energy: -539 meV per atom

Cell: 5.014 5.014 5.014 Å, 60.00 60.00 60.00°
Fractional positions:
Nd1 0.000 0.000 0.000
Ho1 0.500 0.500 0.500
Zn1 0.750 0.750 0.750
Rh1 0.250 0.250 0.250



## NdHoZnRh (GGA-PBE)

Data for crystalline NdHoZnRh at its relaxed geometry.

Calculated values
* crystal system: orthorhombic
* energy relative to the lowest polymorph listed for this composition: 0.0000 eV per atom
* formation energy: -555 meV per atom

Cell: 4.410 5.717 5.717 Å, 40.22 90.00 90.00°
Fractional positions:
Nd1 0.000 0.000 0.000
Ho1 0.500 0.720 0.720
Zn1 0.500 0.426 0.426
Rh1 0.000 0.280 0.280



## Nd4HoRu (GGA-PBE)

Data for crystalline Nd4HoRu at its relaxed geometry.

Calculated values
* crystal system: monoclinic
* formation energy: -33 meV per atom

Cell: 9.545 9.545 6.089 Å, 108.56 108.56 46.68°
Fractional positions:
Nd1 0.134 0.634 0.384
Nd2 0.207 0.793 0.000
Nd3 0.327 0.327 0.827
Nd4 0.366 0.866 0.616
Nd5 0.634 0.134 0.384
Nd6 0.673 0.673 0.173
Nd7 0.793 0.207 0.000
Nd8 0.866 0.366 0.616
Ho1 0.199 0.199 0.199
Ho2 0.801 0.801 0.801
Ru1 0.500 0.500 0.261
Ru2 0.500 0.500 0.739



## NdHo4Ru2 (GGA-PBE)

Data for crystalline NdHo4Ru2 at its relaxed geometry.

Calculated values
* crystal system: monoclinic
* formation energy: -251 meV per atom

Cell: 7.715 6.398 7.974 Å, 90.00 112.67 90.00°
Fractional positions:
Nd1 0.020 0.250 0.164
Nd2 0.980 0.750 0.836
Ho1 0.245 0.501 0.584
Ho2 0.245 0.999 0.584
Ho3 0.325 0.750 0.254
Ho4 0.382 0.250 0.019
Ho5 0.618 0.750 0.981
Ho6 0.675 0.250 0.746
Ho7 0.755 0.001 0.416
Ho8 0.755 0.499 0.416
Ru1 0.023 0.250 0.735
Ru2 0.416 0.250 0.373
Ru3 0.584 0.750 0.627
Ru4 0.977 0.750 0.265



## Nd2HoRu2 (GGA-PBE)

Data for crystalline Nd2HoRu2 at its relaxed geometry.

Calculated values
* crystal system: monoclinic
* formation energy: -208 meV per atom

Cell: 6.189 6.189 10.259 Å, 113.61 113.61 43.12°
Fractional positions:
Nd1 0.018 0.018 0.196
Nd2 0.180 0.180 0.587
Nd3 0.820 0.820 0.413
Nd4 0.982 0.982 0.804
Ho1 0.286 0.286 0.132
Ho2 0.714 0.714 0.868
Ru1 0.380 0.380 0.905
Ru2 0.461 0.461 0.597
Ru3 0.539 0.539 0.403
Ru4 0.620 0.620 0.095



## Nd3HoRu2 (GGA-PBE)

Data for crystalline Nd3HoRu2 at its relaxed geometry.

Calculated values
* crystal system: monoclinic
* formation energy: -168 meV per atom

Cell: 8.495 8.495 10.928 Å, 115.22 115.22 29.46°
Fractional positions:
Nd1 0.052 0.052 0.224
Nd2 0.213 0.213 0.599
Nd3 0.334 0.334 0.977
Nd4 0.666 0.666 0.023
Nd5 0.787 0.787 0.401
Nd6 0.948 0.948 0.776
Ho1 0.428 0.428 0.337
Ho2 0.572 0.572 0.663
Ru1 0.139 0.139 0.837
Ru2 0.384 0.384 0.580
Ru3 0.616 0.616 0.420
Ru4 0.861 0.861 0.163



## Nd2Ho3Ru2 (GGA-PBE)

Data for crystalline Nd2Ho3Ru2 at its relaxed geometry.

Calculated values
* crystal system: monoclinic
* formation energy: -297 meV per atom

Cell: 6.365 6.365 8.844 Å, 114.48 114.48 35.35°
Fractional positions:
Nd1 0.164 0.164 0.301
Nd2 0.836 0.836 0.699
Ho1 0.377 0.377 0.075
Ho2 0.500 0.500 0.500
Ho3 0.623 0.623 0.925
Ru1 0.177 0.177 0.733
Ru2 0.823 0.823 0.267



## NdHo5Ru4 (GGA-PBE)

Data for crystalline NdHo5Ru4 at its relaxed geometry.

Calculated values
* crystal system: tetragonal
* formation energy: -313 meV per atom

Cell: 3.400 3.400 19.232 Å, 90.00 90.00 90.00°
Fractional positions:
Nd1 0.000 0.000 0.000
Ho1 0.500 0.500 0.151
Ho2 0.500 0.500 0.325
Ho3 0.500 0.500 0.500
Ho4 0.500 0.500 0.675
Ho5 0.500 0.500 0.849
Ru1 0.000 0.000 0.232
Ru2 0.000 0.000 0.412
Ru3 0.000 0.000 0.588
Ru4 0.000 0.000 0.768



## Nd3HoRu8 (GGA-PBE)

Data for crystalline Nd3HoRu8 at its relaxed geometry.

Calculated values
* crystal system: trigonal
* formation energy: -177 meV per atom

Cell: 9.397 9.397 9.397 Å, 33.35 33.35 33.35°
Fractional positions:
Nd1 0.000 0.000 0.000
Nd2 0.125 0.125 0.125
Nd3 0.625 0.625 0.625
Ho1 0.501 0.501 0.501
Ru1 0.060 0.567 0.567
Ru2 0.067 0.067 0.553
Ru3 0.067 0.553 0.067
Ru4 0.317 0.317 0.317
Ru5 0.553 0.067 0.067
Ru6 0.567 0.060 0.567
Ru7 0.567 0.567 0.060
Ru8 0.817 0.817 0.817



## NdHoRu2 (GGA-PBE)

Data for crystalline NdHoRu2 at its relaxed geometry.

Calculated values
* crystal system: tetragonal
* formation energy: -200 meV per atom

Cell: 3.445 3.445 6.904 Å, 90.00 90.00 90.00°
Fractional positions:
Nd1 0.000 0.000 0.000
Ho1 0.000 0.000 0.500
Ru1 0.500 0.500 0.258
Ru2 0.500 0.500 0.742



Looking at E for the records above, in order, we have -0.4585 -0.4651 -0.4669 -0.4509 -0.5023 -0.4727 -0.4769 -0.4497 -0.4815 -0.4743 -0.4649 -0.5484 -0.3698 -0.3710 -0.4057 -0.4556 -0.4955 -0.4709 -0.4609 -0.4990 -0.5831 -0.5273 Ry/atom.
Looking at magnetic moment for the records above, in order, we have 0.00 0.00 0.00 0.00 0.00 0.00 0.00 0.00 0.00 0.00 0.00 0.00 0.00 0.00 0.00 0.00 0.00 0.00 0.00 0.00 0.00 0.00 μB/atom.